[1]
Dy2GaNi2Rh5, optimized geometry, DFT PBE; density of states at the Fermi level = 8.601 states/eV/f.u.; formation energy from the elements = -0.540 eV per atom; space group = P4/mbm (127); magnetic moment = 0.00 μB per cell
1.0
3.792 0.000 0.000
0.000 9.196 0.000
0.000 0.000 9.196
Rh Ni Dy Ga
10 4 4 2
direct
0.500 0.204 0.067 Rh
0.500 0.067 0.796 Rh
0.500 0.500 0.000 Rh
0.500 0.933 0.204 Rh
0.500 0.704 0.433 Rh
0.500 0.296 0.567 Rh
0.500 0.796 0.933 Rh
0.500 0.433 0.296 Rh
0.500 0.567 0.704 Rh
0.500 0.000 0.500 Rh
0.000 0.125 0.625 Ni
0.000 0.375 0.125 Ni
0.000 0.875 0.375 Ni
0.000 0.625 0.875 Ni
0.000 0.174 0.326 Dy
0.000 0.826 0.674 Dy
0.000 0.326 0.826 Dy
0.000 0.674 0.174 Dy
0.000 0.500 0.500 Ga
0.000 0.000 0.000 Ga



[2]
DyGa5Ni2Ru, optimized geometry, DFT PBE; density of states at the Fermi level = 4.349 states/eV/f.u.; formation energy from the elements = -0.226 eV per atom; space group = P4/mmm (123); magnetic moment = 0.00 μB per cell
1.0
4.603 0.000 0.000
0.000 4.603 0.000
0.000 0.000 7.015
Ga Ni Ru Dy
5 2 1 1
direct
0.000 0.500 0.196 Ga
0.500 0.000 0.804 Ga
0.500 0.500 0.500 Ga
0.000 0.500 0.804 Ga
0.500 0.000 0.196 Ga
0.500 0.500 0.172 Ni
0.500 0.500 0.828 Ni
0.000 0.000 0.000 Ru
0.000 0.000 0.500 Dy



[3]
DyGa2Ni2Ru, optimized geometry, DFT PBE; density of states at the Fermi level = 3.524 states/eV/f.u.; formation energy from the elements = 0.013 eV per atom; space group = P4/mmm (123); magnetic moment = 0.00 μB per cell
1.0
4.634 0.000 0.000
0.000 4.634 0.000
0.000 0.000 5.208
Dy Ni Ru Ga
1 2 1 2
direct
0.000 0.000 0.500 Dy
0.500 0.500 0.251 Ni
0.500 0.500 0.749 Ni
0.000 0.000 0.000 Ru
0.500 0.000 0.000 Ga
0.000 0.500 0.000 Ga



[4]
DyGaNiRu, optimized geometry, DFT PBE; density of states at the Fermi level = 1.255 states/eV/f.u.; formation energy from the elements = -0.357 eV per atom; space group = F-43m (216); magnetic moment = 0.00 μB per cell
1.0
4.505 0.000 0.000
2.253 3.902 0.000
2.253 1.301 3.679
Ni Ga Ru Dy
1 1 1 1
direct
0.500 0.500 0.500 Ni
0.250 0.250 0.250 Ga
0.000 0.000 0.000 Ru
0.750 0.750 0.750 Dy



[5]
Dy2Ga5Ni2Ru, optimized geometry, DFT PBE; density of states at the Fermi level = 7.240 states/eV/f.u.; formation energy from the elements = -0.453 eV per atom; space group = P4/mbm (127); magnetic moment = 0.00 μB per cell
1.0
4.046 0.000 0.000
0.000 9.064 0.000
0.000 0.000 9.064
Ga Dy Ru Ni
10 4 2 4
direct
0.500 0.500 0.000 Ga
0.500 0.055 0.797 Ga
0.500 0.203 0.055 Ga
0.500 0.297 0.555 Ga
0.500 0.797 0.945 Ga
0.500 0.555 0.703 Ga
0.500 0.703 0.445 Ga
0.500 0.000 0.500 Ga
0.500 0.445 0.297 Ga
0.500 0.945 0.203 Ga
0.000 0.684 0.184 Dy
0.000 0.316 0.816 Dy
0.000 0.816 0.684 Dy
0.000 0.184 0.316 Dy
0.000 0.000 0.000 Ru
0.000 0.500 0.500 Ru
0.000 0.611 0.889 Ni
0.000 0.111 0.611 Ni
0.000 0.889 0.389 Ni
0.000 0.389 0.111 Ni



[6]
Dy2Ga5NiRu2, optimized geometry, DFT PBE; density of states at the Fermi level = 6.768 states/eV/f.u.; formation energy from the elements = -0.388 eV per atom; space group = P4/mbm (127); magnetic moment = 0.00 μB per cell
1.0
3.213 0.000 0.000
0.000 10.364 0.000
0.000 0.000 10.364
Ga Dy Ru Ni
10 4 4 2
direct
0.500 0.500 0.000 Ga
0.500 0.000 0.500 Ga
0.500 0.554 0.685 Ga
0.500 0.185 0.054 Ga
0.500 0.446 0.315 Ga
0.500 0.054 0.815 Ga
0.500 0.685 0.446 Ga
0.500 0.815 0.946 Ga
0.500 0.946 0.185 Ga
0.500 0.315 0.554 Ga
0.000 0.819 0.681 Dy
0.000 0.681 0.181 Dy
0.000 0.319 0.819 Dy
0.000 0.181 0.319 Dy
0.000 0.871 0.371 Ru
0.000 0.629 0.871 Ru
0.000 0.129 0.629 Ru
0.000 0.371 0.129 Ru
0.000 0.000 0.000 Ni
0.000 0.500 0.500 Ni